No. 1
{"formula": "Mn2ReOs", "functional": "PBE-GGA", "state": "relaxed", "lattice_angstrom": [[-1.140, 1.025, -3.437], [-1.820, -3.273, -0.372], [-3.016, 1.512, 1.451]], "species": ["Os", "Mn", "Mn", "Re"], "frac_coords": [[0.500, 0.000, 0.500], [0.500, 0.500, 0.000], [0.000, 0.000, 0.000], [0.000, 0.500, 0.500]], "total_magnetization_mub_per_atom": 0.50, "space_group": "P4/mmm", "e_form_mev_per_atom": 59, "energy_ev_per_atom": -10.445}


No. 2
{"formula": "Sr2Cd3GaSn4", "functional": "PBE-GGA", "state": "relaxed", "lattice_angstrom": [[4.907, 0.000, 0.000], [0.000, 4.907, 0.000], [0.000, 0.000, 11.924]], "species": ["Sn", "Sn", "Sn", "Sn", "Cd", "Cd", "Cd", "Ga", "Sr", "Sr"], "frac_coords": [[0.000, 0.000, 0.000], [0.500, 0.500, 0.000], [0.000, 0.500, 0.373], [0.500, 0.000, 0.627], [0.000, 0.000, 0.500], [0.500, 0.000, 0.861], [0.000, 0.500, 0.139], [0.500, 0.500, 0.500], [0.500, 0.000, 0.255], [0.000, 0.500, 0.745]], "total_magnetization_mub_per_atom": 0.00, "space_group": "P-4m2", "e_form_mev_per_atom": -310, "energy_ev_per_atom": -2.825}


No. 3
{"formula": "SrAlAs2", "functional": "PBE-GGA", "state": "relaxed", "lattice_angstrom": [[-2.781, 4.111, -1.296], [-4.495, -0.597, -2.398], [-4.380, 1.016, 2.470]], "species": ["As", "As", "Al", "Sr"], "frac_coords": [[0.000, 0.000, 0.000], [0.250, 0.250, 0.250], [0.500, 0.500, 0.500], [0.750, 0.750, 0.750]], "total_magnetization_mub_per_atom": 0.00, "space_group": "F-43m", "e_form_mev_per_atom": -8, "energy_ev_per_atom": -3.689}


No. 4
{"formula": "FeGeSe3", "functional": "PBE-GGA", "state": "relaxed", "lattice_angstrom": [[-2.395, 4.255, -0.878], [-0.926, -1.479, -4.644], [-4.245, -2.078, 1.508]], "species": ["Se", "Se", "Se", "Fe", "Ge"], "frac_coords": [[0.000, 0.500, 0.000], [0.000, 0.000, 0.500], [0.500, 0.000, 0.000], [0.500, 0.500, 0.500], [0.000, 0.000, 0.000]], "e_form_raw_ev_per_atom": 0.767, "total_magnetization_mub_per_atom": 0.78, "space_group": "Pm-3m", "energy_ev_per_atom": -3.939}


No. 5
{"formula": "TaSi2Mo", "functional": "PBE-GGA", "state": "relaxed", "lattice_angstrom": [[4.578, -0.008, 0.018], [3.499, 2.952, 0.018], [0.709, 0.258, 4.563]], "species": ["Si", "Si", "Ta", "Mo"], "frac_coords": [[0.507, 0.507, 0.471], [0.993, 0.993, 0.029], [0.750, 0.750, 0.750], [0.250, 0.250, 0.250]], "de_polymorph_mev_per_atom": 283, "e_form_raw_ev_per_atom": -0.105, "total_magnetization_mub_per_atom": 0.00, "space_group": "C2/m", "energy_ev_per_atom": -8.488}


No. 6
{"formula": "RbUBiO6", "functional": "PBE-GGA", "state": "relaxed", "lattice_angstrom": [[5.739, 0.000, 0.000], [-2.870, 4.970, 0.000], [0.000, 0.000, 12.666]], "species": ["Bi", "Bi", "O", "O", "O", "O", "O", "O", "O", "O", "O", "O", "O", "O", "U", "U", "Rb", "Rb"], "frac_coords": [[0.667, 0.333, 0.750], [0.333, 0.667, 0.250], [0.385, 0.005, 0.157], [0.615, 0.995, 0.843], [0.380, 0.995, 0.657], [0.995, 0.615, 0.343], [0.615, 0.620, 0.657], [0.620, 0.005, 0.343], [0.995, 0.380, 0.157], [0.385, 0.380, 0.343], [0.620, 0.615, 0.157], [0.005, 0.385, 0.657], [0.005, 0.620, 0.843], [0.380, 0.385, 0.843], [0.667, 0.333, 0.250], [0.333, 0.667, 0.750], [0.000, 0.000, 0.000], [0.000, 0.000, 0.500]], "e_form_raw_ev_per_atom": -1.913, "total_magnetization_mub_per_atom": 0.00, "space_group": "P-31c", "energy_ev_per_atom": -7.011}


No. 7
{"formula": "Na2Np3O8", "functional": "PBE-GGA", "state": "relaxed", "lattice_angstrom": [[-0.443, -4.925, -3.296], [6.235, -1.550, -1.223], [2.654, -4.600, 3.817]], "species": ["O", "O", "O", "O", "O", "O", "O", "O", "Np", "Np", "Np", "Na", "Na"], "frac_coords": [[0.922, 0.401, 0.401], [0.885, 0.906, 0.906], [0.115, 0.094, 0.094], [0.366, 0.116, 0.682], [0.634, 0.318, 0.884], [0.634, 0.884, 0.318], [0.366, 0.682, 0.116], [0.078, 0.599, 0.599], [0.000, 0.255, 0.745], [0.000, 0.745, 0.255], [0.500, 0.000, 0.000], [0.397, 0.697, 0.697], [0.603, 0.303, 0.303]], "e_form_raw_ev_per_atom": -2.646, "total_magnetization_mub_per_atom": 0.54, "space_group": "C2/m", "energy_ev_per_atom": -8.886}


No. 8
{"formula": "Li3ReAs", "functional": "PBE-GGA", "state": "relaxed", "lattice_angstrom": [[-2.842, -0.674, 3.289], [2.655, -3.089, 1.661], [2.055, 3.058, 2.402]], "species": ["Li", "Li", "Li", "As", "Re"], "frac_coords": [[0.500, 0.000, 0.000], [0.000, 0.500, 0.000], [0.000, 0.000, 0.500], [0.000, 0.000, 0.000], [0.500, 0.500, 0.500]], "de_polymorph_mev_per_atom": 0, "total_magnetization_mub_per_atom": 0.00, "space_group": "Pm-3m", "e_form_mev_per_atom": 1072, "energy_ev_per_atom": -3.495}


No. 9
{"formula": "CeHoGaSn", "functional": "PBE-GGA", "state": "relaxed", "lattice_angstrom": [[5.259, 0.000, 0.000], [2.629, 4.554, 0.000], [2.629, 1.518, 4.294]], "species": ["Sn", "Ho", "Ga", "Ce"], "frac_coords": [[0.000, 0.000, 0.000], [0.750, 0.750, 0.750], [0.500, 0.500, 0.500], [0.250, 0.250, 0.250]], "total_magnetization_mub_per_atom": 0.24, "space_group": "F-43m", "e_form_mev_per_atom": -515, "energy_ev_per_atom": -4.900}


No. 10
{"formula": "LiRe3", "functional": "PBE-GGA", "state": "relaxed", "lattice_angstrom": [[-1.297, 2.326, 0.097], [0.432, -1.057, 2.407], [8.060, 4.472, 0.517]], "species": ["Re", "Re", "Re", "Li"], "frac_coords": [[0.000, 0.000, 0.500], [0.500, 0.500, 0.256], [0.500, 0.500, 0.744], [0.000, 0.000, 0.000]], "de_polymorph_mev_per_atom": 115, "total_magnetization_mub_per_atom": 0.00, "space_group": "Cmmm", "e_form_mev_per_atom": 301, "energy_ev_per_atom": -9.513}


No. 11
{"formula": "TaRe2GeC", "functional": "PBE-GGA", "state": "relaxed", "lattice_angstrom": [[-4.346, -2.284, -0.089], [1.229, -2.451, 2.880], [-1.709, 3.120, 3.384]], "species": ["Ta", "C", "Re", "Re", "Ge"], "frac_coords": [[0.000, 0.000, 0.000], [0.000, 0.500, 0.000], [0.000, 0.000, 0.500], [0.500, 0.000, 0.000], [0.500, 0.500, 0.500]], "total_magnetization_mub_per_atom": 0.00, "space_group": "P4/mmm", "e_form_mev_per_atom": 2251, "energy_ev_per_atom": -7.867}


No. 12
{"formula": "PrGdPd", "functional": "PBE-GGA", "state": "relaxed", "lattice_angstrom": [[-3.005, -2.309, 1.211], [0.927, 0.195, -3.864], [4.220, -5.095, 0.755]], "species": ["Pr", "Pd", "Gd"], "frac_coords": [[0.000, 0.000, 0.064], [0.667, 0.333, 0.341], [0.333, 0.667, 0.596]], "de_polymorph_mev_per_atom": 102, "total_magnetization_mub_per_atom": 2.50, "space_group": "P3m1", "e_form_mev_per_atom": -384, "energy_ev_per_atom": -8.402}